# 1
## MnPb2AuS (PBE)

Data for an optimized crystal structure of MnPb2AuS.

## Properties
VASP energy = -4.543 eV per atom
total magnetization = 3.31 μB/cell
formation energy (no corrections) = 0.26 eV per atom

Lattice parameters (Å, degrees): 5.6083 5.6083 4.2927 90.00 90.00 90.00
With the nearest neighbours (Å) after each atom.
Space group P4/mmm (No. 123)
One atom of each set of equivalent atoms:
Mn 0.0000 0.0000 0.0000 x1  2 S 2.15
Pb 0.0000 0.5000 0.5000 x2  2 S 2.80
Au 0.5000 0.5000 0.0000 x1  8 Pb 3.53
S 0.0000 0.0000 0.5000 x1  2 Mn 2.15


# 2
## Nd4TmTl2 (PBE)

Data for an optimized crystal structure of Nd4TmTl2.

## Properties
formation energy = 0.077 eV/atom
E above lowest polymorph = 0.063 eV per atom
VASP energy = -3.962 eV per atom
total magnetization = 0.51 μB/cell

Lattice parameters (Å, degrees): 6.8690 10.6404 6.2754 90.00 97.62 90.00
With the nearest neighbours (Å) after each atom.
Space group C2/m (No. 12)
One atom of each set of equivalent atoms:
Nd 0.0000 0.2064 0.0000 x4  6 Nd 3.40-3.80, 4 Tl 3.52-3.78
Nd 0.2500 0.2500 0.5000 x4  2 Tm 3.17, 4 Nd 3.40-3.43, 2 Tl 3.44
Tm 0.0000 0.0000 0.5000 x2  4 Nd 3.17, 2 Tl 3.54
Tl 0.0772 0.5000 0.7667 x4  2 Tl 3.24-3.37, 4 Nd 3.44-3.52, 1 Tm 3.54


# 3
## CaInP3 (PBE)

Data for an optimized crystal structure of CaInP3.

## Properties
formation energy = 0.875 eV/atom
E above lowest polymorph = 0.409 eV per atom
VASP energy = -3.319 eV per atom
total magnetization = 0.00 μB/cell

Lattice parameters (Å, degrees): 5.2218 5.2218 5.2218 90.00 90.00 90.00
With the nearest neighbours (Å) after each atom.
Space group Pm-3m (No. 221)
One atom of each set of equivalent atoms:
Ca 0.0000 0.0000 0.0000 x1  6 P 2.61
In 0.5000 0.5000 0.5000 x1  12 P 3.69
P 0.0000 0.0000 0.5000 x3  2 Ca 2.61


# 4
## Ba12Cd2In5 (PBE)

Data for an optimized crystal structure of Ba12Cd2In5.

## Properties
formation energy = -0.186 eV/atom
VASP energy = -2.217 eV per atom
total magnetization = 0.00 μB/cell

Lattice parameters (Å, degrees): 18.8148 8.7294 11.5120 90.00 97.77 90.00
With the nearest neighbours (Å) after each atom.
Space group C2/m (No. 12)
One atom of each set of equivalent atoms:
Ba 0.0184 0.0000 0.2856 x4  2 In 3.49-3.56, 2 Cd 3.60
Ba 0.0589 0.5000 0.8257 x4  2 Cd 3.72, 1 In 3.76
Ba 0.1494 0.2458 0.5688 x8  3 In 3.49-3.58
Ba 0.1851 0.2517 0.1244 x8  3 In 3.45-3.71, 1 Cd 3.64
Cd 0.0000 0.1756 0.0000 x4  1 Cd 3.07
In 0.0000 0.5000 0.5000 x2  6 Ba 3.58-3.76
In 0.1544 0.0000 0.8688 x4  5 Ba 3.49-3.71, 2 Cd 3.78
In 0.2085 0.0000 0.3579 x4  7 Ba 3.45-3.56


# 5
## BeFe14Si (PBE)

Data for an optimized crystal structure of BeFe14Si.

## Properties
VASP energy = -7.995 eV per atom
total magnetization = 16.54 μB/cell
formation energy (no corrections) = -0.02 eV per atom

Lattice parameters (Å, degrees): 5.0050 5.0050 7.0033 90.00 90.00 90.00
With the nearest neighbours (Å) after each atom.
Space group P4/mmm (No. 123)
One atom of each set of equivalent atoms:
Be 0.0000 0.0000 0.0000 x1  12 Fe 2.48-2.50
Fe 0.0000 0.0000 0.5000 x1  12 Fe 2.48-2.50
Fe 0.0000 0.5000 0.0000 x2  8 Fe 2.49, 2 Be 2.50, 2 Si 2.50
Fe 0.0000 0.5000 0.5000 x2  12 Fe 2.49-2.50
Fe 0.2479 0.2479 0.2496 x8  1 Be 2.48, 10 Fe 2.48-2.52, 1 Si 2.50
Fe 0.5000 0.5000 0.5000 x1  12 Fe 2.50
Si 0.5000 0.5000 0.0000 x1  12 Fe 2.50


# 6
## Ce3Zn2Ga6 (PBE)

Data for an optimized crystal structure of Ce3Zn2Ga6.

## Properties
formation energy = -0.289 eV/atom
VASP energy = -3.790 eV per atom
total magnetization = 3.18 μB/cell

Lattice parameters (Å, degrees): 4.0984 4.0984 28.9110 90.00 90.00 90.00
With the nearest neighbours (Å) after each atom.
Space group I4/mmm (No. 139)
One atom of each set of equivalent atoms:
Ce 0.0000 0.0000 0.0000 x2  8 Ga 3.11
Ce 0.0000 0.0000 0.1696 x4  5 Ga 2.96-3.28, 4 Zn 3.04
Zn 0.0000 0.0000 0.3616 x4  5 Ga 2.59-2.64
Ga 0.0000 0.0000 0.2720 x4  1 Zn 2.59
Ga 0.0000 0.5000 0.0808 x8  2 Zn 2.64, 4 Ga 2.90